# TbPrY2Te6, optimized geometry, DFT PBE
data_TbPrY2Te6
_cell_length_a 7.7963
_cell_length_b 7.7963
_cell_length_c 21.2150
_cell_angle_alpha 90.00
_cell_angle_beta 90.00
_cell_angle_gamma 120.00
_symmetry_space_group_name_H-M 'R 3'
_symmetry_Int_Tables_number 146
_symmetry_space_group_name_Hall 'R 3'
loop_
_atom_site_label
_atom_site_fract_x
_atom_site_fract_y
_atom_site_fract_z
Tb1 0.0000 0.0000 0.0000
Pr1 0.0000 0.0000 0.5032
Y1 0.0000 0.0000 0.3143
Y2 0.0000 0.0000 0.8120
Te1 0.0049 0.3179 0.4043
Te2 0.0173 0.7020 0.9055
# Final energy = -164.9 eV/cell
# Total moment = 0.0 μB per formula unit
# Raw formation energy = -133.1 kJ per mole of atoms